(1)
First-principles (PBE) data for an optimized crystal structure of Bi2PdPb, as listed in the Alexandria database.

## Properties
Energy of formation from the pure elements in kJ/mol of formula units: -24
SG: R-3m (166)
Raw total energy in eV/f.u.: -16.91
Calculated density in g/cm3: 10.51

Cell lengths 3.5384, 3.5384, 10.8545 Å; angles 80.62, 80.62, 60.00 degrees
Closest atoms and distances in Å follow each position.
Element x y z (fractional)
1 Pb 0.0000 0.0000 0.0000  2 Bi 3.33, 6 Pb 3.54
2 Bi 0.1042 0.1042 0.6875  3 Pd 2.86
3 Bi 0.8958 0.8958 0.3125  3 Pd 2.86
4 Pd 0.5000 0.5000 0.5000  6 Bi 2.86

***

(2)
First-principles (PBE) data for an optimized crystal structure of CsMg6Zn, as listed in the Alexandria database.

## Properties
Energy of formation from the pure elements in kJ/mol of formula units: 138
SG: Amm2 (38)
Raw total energy in eV/f.u.: -10.26
Calculated density in g/cm3: 2.49
Relative energy among the computed polymorphs in eV/atom: 0.012

Cell lengths 8.6039, 8.6039, 3.3837 Å; angles 90.00, 90.00, 113.43 degrees
Closest atoms and distances in Å follow each position.
Element x y z (fractional)
1 Cs 0.8440 0.1560 0.0000  2 Cs 3.38, 2 Zn 3.71, 2 Mg 3.78
2 Mg 0.6121 0.7125 0.5000  1 Zn 2.82, 1 Mg 3.07
3 Mg 0.2875 0.3879 0.5000  1 Zn 2.82, 1 Mg 3.07
4 Mg 0.0904 0.9096 0.5000  8 Mg 3.07-3.38
5 Mg 0.8674 0.6037 0.0000  2 Zn 2.81, 2 Mg 3.07
6 Mg 0.3963 0.1326 0.0000  2 Zn 2.81, 2 Mg 3.07
7 Mg 0.2879 0.7121 0.0000  10 Mg 3.26-3.38
8 Zn 0.6147 0.3853 0.5000  6 Mg 2.81-2.82

***

(3)
First-principles (PBE) data for an optimized crystal structure of CaMgMn3, as listed in the Alexandria database.

## Properties
Energy of formation from the pure elements in kJ/mol of formula units: 490
SG: Pm-3m (221)
Raw total energy in eV/f.u.: -26.03
Calculated density in g/cm3: 3.24
Relative energy among the computed polymorphs in eV/atom: 0.000

Cell lengths 4.8974, 4.8974, 4.8974 Å; angles 90.00, 90.00, 90.00 degrees
Closest atoms and distances in Å follow each position.
Element x y z (fractional)
1 Ca 0.5000 0.5000 0.5000  12 Mn 3.46
2 Mn 0.0000 0.5000 0.0000  2 Mg 2.45
3 Mn 0.0000 0.0000 0.5000  2 Mg 2.45
4 Mn 0.5000 0.0000 0.0000  2 Mg 2.45
5 Mg 0.0000 0.0000 0.0000  6 Mn 2.45

***

Please write out number 2 again, unchanged.
First-principles (PBE) data for an optimized crystal structure of CsMg6Zn, as listed in the Alexandria database.

## Properties
Energy of formation from the pure elements in kJ/mol of formula units: 138
SG: Amm2 (38)
Raw total energy in eV/f.u.: -10.26
Calculated density in g/cm3: 2.49
Relative energy among the computed polymorphs in eV/atom: 0.012

Cell lengths 8.6039, 8.6039, 3.3837 Å; angles 90.00, 90.00, 113.43 degrees
Closest atoms and distances in Å follow each position.
Element x y z (fractional)
1 Cs 0.8440 0.1560 0.0000  2 Cs 3.38, 2 Zn 3.71, 2 Mg 3.78
2 Mg 0.6121 0.7125 0.5000  1 Zn 2.82, 1 Mg 3.07
3 Mg 0.2875 0.3879 0.5000  1 Zn 2.82, 1 Mg 3.07
4 Mg 0.0904 0.9096 0.5000  8 Mg 3.07-3.38
5 Mg 0.8674 0.6037 0.0000  2 Zn 2.81, 2 Mg 3.07
6 Mg 0.3963 0.1326 0.0000  2 Zn 2.81, 2 Mg 3.07
7 Mg 0.2879 0.7121 0.0000  10 Mg 3.26-3.38
8 Zn 0.6147 0.3853 0.5000  6 Mg 2.81-2.82

***

What is the raw total energy in the second record? -10.26 eV/f.u.

***

Number 1 is which compound? Bi2PdPb